Record 1
First-principles (PBE) data for an optimized crystal structure of ZnP2Cl, as listed in Alexandria.

The structure belongs to space group P4/mmm (No. 123); the cell edges are 3.6678, 3.6678 and 5.7494 Å and the angles 90.00°, 90.00° and 90.00°. The asymmetric unit holds Zn at (0.0000, 0.0000, 0.0000), P at (0.5000, 0.5000, 0.1797) and Cl at (0.0000, 0.0000, 0.5000).

Its raw formation energy is 0.28 eV per atom. The volume comes out at 19.34 A^3/atom. The crystal system is tetragonal. The density of states at the Fermi level comes out at 1.69 states/eV per cell. The energy relative to the lowest polymorph listed for this composition comes out at 2.00 eV per formula unit.



Record 2
First-principles (PBE) data for an optimized crystal structure of ZnP2Cl, as listed in Alexandria.

The structure belongs to space group P4/mmm (No. 123); the cell edges are 3.4331, 3.4331 and 6.6130 Å and the angles 90.00°, 90.00° and 90.00°. The asymmetric unit holds Zn at (0.0000, 0.0000, 0.0000), P at (0.0000, 0.5000, 0.5000) and Cl at (0.5000, 0.5000, 0.0000).

Its raw formation energy is 0.20 eV per atom. The volume comes out at 19.49 A^3/atom. The crystal system is tetragonal. The density of states at the Fermi level comes out at 3.31 states/eV per cell. The energy relative to the lowest polymorph listed for this composition comes out at 1.68 eV per formula unit.



Record 3
First-principles (PBE) data for an optimized crystal structure of ZnPCl2, as listed in Alexandria.

The structure belongs to space group Cmmm (No. 65); the cell edges are 3.2776, 6.2780 and 9.6083 Å and the angles 90.00°, 90.00° and 90.00°. The asymmetric unit holds Zn at (0.0000, 0.0000, 0.0000), P at (0.0000, 0.0000, 0.5000) and Cl at (0.0000, 0.5000, 0.3162).

Its raw formation energy is 0.19 eV per atom. The volume comes out at 24.71 A^3/atom. The crystal system is orthorhombic. The density of states at the Fermi level comes out at 4.12 states/eV per cell. The energy relative to the lowest polymorph listed for this composition comes out at 2.60 eV per formula unit.



Record 4
First-principles (PBE) data for an optimized crystal structure of ZnPCl2, as listed in Alexandria.

The structure belongs to space group P4mm (No. 99); the cell edges are 3.4971, 3.4971 and 7.8793 Å and the angles 90.00°, 90.00° and 90.00°. The asymmetric unit holds Zn at (0.0000, 0.0000, 0.0000), P at (0.5000, 0.5000, 0.1014), Cl at (0.0000, 0.0000, 0.7262) and Cl at (0.5000, 0.5000, 0.3587).

Its raw formation energy is -0.36 eV per atom. The volume comes out at 24.09 A^3/atom. The crystal system is tetragonal. The density of states at the Fermi level comes out at 1.20 states/eV per cell. The energy relative to the lowest polymorph listed for this composition comes out at 0.42 eV per formula unit.



Record 5
First-principles (PBE) data for an optimized crystal structure of ZnPCl2, as listed in Alexandria.

The structure belongs to space group Cmmm (No. 65); the cell edges are 6.0703, 7.7115 and 3.2709 Å and the angles 90.00°, 90.00° and 90.00°. The asymmetric unit holds Zn at (0.0000, 0.0000, 0.0000), P at (0.0000, 0.5000, 0.0000) and Cl at (0.2500, 0.2500, 0.5000).

Its raw formation energy is 0.47 eV per atom. The volume comes out at 19.14 A^3/atom. The crystal system is orthorhombic. The density of states at the Fermi level comes out at 4.73 states/eV per cell. The energy relative to the lowest polymorph listed for this composition comes out at 3.73 eV per formula unit.



Record 6
First-principles (PBE) data for an optimized crystal structure of ZnPCl2, as listed in Alexandria.

The structure belongs to space group C2/m (No. 12); the cell edges are 6.0143, 7.3633 and 4.6894 Å and the angles 90.00°, 129.66° and 90.00°. The asymmetric unit holds Zn at (0.0000, 0.0000, 0.0000), P at (0.0000, 0.5000, 0.0000) and Cl at (0.2500, 0.2500, 0.5000).

Its raw formation energy is 0.08 eV per atom. The volume comes out at 19.98 A^3/atom. The crystal system is monoclinic. The density of states at the Fermi level comes out at 2.26 states/eV per cell. The energy relative to the lowest polymorph listed for this composition comes out at 2.17 eV per formula unit.



Record 7
First-principles (PBE) data for an optimized crystal structure of ZnP2Cl, as listed in Alexandria.

The structure belongs to space group Fm-3m (No. 225); the cell edges are 6.4448, 6.4448 and 6.4448 Å and the angles 90.00°, 90.00° and 90.00°. The asymmetric unit holds Zn at (0.0000, 0.0000, 0.0000), P at (0.2500, 0.2500, 0.2500) and Cl at (0.0000, 0.0000, 0.5000).

Its raw formation energy is 0.73 eV per atom. The volume comes out at 16.73 A^3/atom. The crystal system is cubic. The density of states at the Fermi level comes out at 7.45 states/eV per cell. The energy relative to the lowest polymorph listed for this composition comes out at 3.82 eV per formula unit.



Record 8
First-principles (PBE) data for an optimized crystal structure of ZnP2Cl, as listed in Alexandria.

The structure belongs to space group Pmmm (No. 47); the cell edges are 2.9806, 4.6427 and 4.7579 Å and the angles 90.00°, 90.00° and 90.00°. The asymmetric unit holds Zn at (0.0000, 0.0000, 0.0000), P at (0.0000, 0.5000, 0.5000), P at (0.5000, 0.0000, 0.5000) and Cl at (0.5000, 0.5000, 0.0000).

Its raw formation energy is 0.52 eV per atom. The volume comes out at 16.46 A^3/atom. The crystal system is orthorhombic. The density of states at the Fermi level comes out at 1.47 states/eV per cell. The energy relative to the lowest polymorph listed for this composition comes out at 2.95 eV per formula unit.



Record 9
First-principles (PBE) data for an optimized crystal structure of ZnPCl2, as listed in Alexandria.

The structure belongs to space group Pmmm (No. 47); the cell edges are 3.2173, 4.0514 and 5.9591 Å and the angles 90.00°, 90.00° and 90.00°. The asymmetric unit holds Zn at (0.0000, 0.0000, 0.0000), P at (0.5000, 0.0000, 0.5000), Cl at (0.0000, 0.5000, 0.5000) and Cl at (0.5000, 0.5000, 0.0000).

Its raw formation energy is 0.18 eV per atom. The volume comes out at 19.42 A^3/atom. The crystal system is orthorhombic. The density of states at the Fermi level comes out at 1.43 states/eV per cell. The energy relative to the lowest polymorph listed for this composition comes out at 2.58 eV per formula unit.



Record 10
First-principles (PBE) data for an optimized crystal structure of ZnPCl2, as listed in Alexandria.

The structure belongs to space group I-4m2 (No. 119); the cell edges are 3.6285, 3.6285 and 12.9080 Å and the angles 90.00°, 90.00° and 90.00°. The asymmetric unit holds Zn at (0.0000, 0.0000, 0.0000), P at (0.0000, 0.5000, 0.2500), Cl at (0.0000, 0.0000, 0.5000) and Cl at (0.0000, 0.5000, 0.7500).

Its raw formation energy is 0.25 eV per atom. The volume comes out at 21.24 A^3/atom. The crystal system is tetragonal. The density of states at the Fermi level comes out at 4.03 states/eV per cell. The energy relative to the lowest polymorph listed for this composition comes out at 2.85 eV per formula unit.



Record 11
First-principles (PBE) data for an optimized crystal structure of ZnP2Cl, as listed in Alexandria.

The structure belongs to space group Immm (No. 71); the cell edges are 3.4039, 3.4168 and 13.3486 Å and the angles 90.00°, 90.00° and 90.00°. The asymmetric unit holds Zn at (0.0000, 0.0000, 0.0000), P at (0.0000, 0.5000, 0.2534) and Cl at (0.0000, 0.0000, 0.5000).

Its raw formation energy is 0.19 eV per atom. The volume comes out at 19.41 A^3/atom. The crystal system is orthorhombic. The density of states at the Fermi level comes out at 3.22 states/eV per cell. The energy relative to the lowest polymorph listed for this composition comes out at 1.63 eV per formula unit.



Record 12
First-principles (PBE) data for an optimized crystal structure of ZnPCl2, as listed in Alexandria.

The structure belongs to space group Cmmm (No. 65); the cell edges are 5.0047, 12.7113 and 3.4846 Å and the angles 90.00°, 90.00° and 90.00°. The asymmetric unit holds Zn at (0.0000, 0.0000, 0.0000), P at (0.0000, 0.5000, 0.0000) and Cl at (0.0000, 0.3657, 0.5000).

Its raw formation energy is -0.12 eV per atom. The volume comes out at 27.71 A^3/atom. The crystal system is orthorhombic. The density of states at the Fermi level comes out at 0.74 states/eV per cell. The energy relative to the lowest polymorph listed for this composition comes out at 1.37 eV per formula unit.



Record 13
First-principles (PBE) data for an optimized crystal structure of Zn4P2Cl3, as listed in Alexandria.

The structure belongs to space group C2/c (No. 15); the cell edges are 15.6924, 7.6867 and 7.7602 Å and the angles 90.00°, 96.84° and 90.00°. The asymmetric unit holds Zn at (0.0609, 0.1831, 0.0158), Zn at (0.1602, 0.4978, 0.2656), P at (0.1858, 0.3434, 0.0187), Cl at (0.0000, 0.3705, 0.2500) and Cl at (0.0798, 0.1146, 0.6100).

Its raw formation energy is -0.47 eV per atom. The volume comes out at 25.82 A^3/atom. The crystal system is monoclinic. The density of states at the Fermi level comes out at 9.24 states/eV per cell.



Record 14
First-principles (PBE) data for an optimized crystal structure of ZnP2Cl, as listed in Alexandria.

The structure belongs to space group I4/mmm (No. 139); the cell edges are 5.1806, 5.1806 and 5.1261 Å and the angles 90.00°, 90.00° and 90.00°. The asymmetric unit holds Zn at (0.0000, 0.0000, 0.0000), P at (0.0000, 0.5000, 0.0000) and Cl at (0.0000, 0.0000, 0.5000).

Its raw formation energy is 0.27 eV per atom. The volume comes out at 17.20 A^3/atom. The crystal system is tetragonal. The density of states at the Fermi level comes out at 4.05 states/eV per cell. The energy relative to the lowest polymorph listed for this composition comes out at 1.94 eV per formula unit.



Record 15
First-principles (PBE) data for an optimized crystal structure of ZnPCl2, as listed in Alexandria.

The structure belongs to space group I-42d (No. 122); the cell edges are 7.2542, 7.2542 and 9.5031 Å and the angles 90.00°, 90.00° and 90.00°. The asymmetric unit holds Zn at (0.0000, 0.0000, 0.0000), P at (0.0000, 0.0000, 0.5000) and Cl at (0.1132, 0.2500, 0.1250).

Its raw formation energy is 0.09 eV per atom. The volume comes out at 31.26 A^3/atom. The crystal system is tetragonal. The density of states at the Fermi level comes out at 0.00 states/eV per cell. The energy relative to the lowest polymorph listed for this composition comes out at 2.21 eV per formula unit.



Record 16
First-principles (PBE) data for an optimized crystal structure of ZnP2Cl, as listed in Alexandria.

The structure belongs to space group P4/mmm (No. 123); the cell edges are 4.8182, 4.8182 and 2.8877 Å and the angles 90.00°, 90.00° and 90.00°. The asymmetric unit holds Zn at (0.0000, 0.0000, 0.0000), P at (0.0000, 0.5000, 0.5000) and Cl at (0.5000, 0.5000, 0.0000).

Its raw formation energy is 0.68 eV per atom. The volume comes out at 16.76 A^3/atom. The crystal system is tetragonal. The density of states at the Fermi level comes out at 1.07 states/eV per cell. The energy relative to the lowest polymorph listed for this composition comes out at 3.61 eV per formula unit.



Record 17
First-principles (PBE) data for an optimized crystal structure of ZnP2Cl, as listed in Alexandria.

The structure belongs to space group Cmm2 (No. 35); the cell edges are 3.2562, 7.8389 and 8.8083 Å and the angles 90.00°, 90.00° and 90.00°. The asymmetric unit holds Zn at (0.0000, 0.0000, 0.0000), P at (0.0000, 0.0000, 0.6092), P at (0.0000, 0.5000, 0.7681) and Cl at (0.0000, 0.5000, 0.1870).

Its raw formation energy is 0.01 eV per atom. The volume comes out at 28.10 A^3/atom. The crystal system is orthorhombic. The density of states at the Fermi level comes out at 7.04 states/eV per cell. The energy relative to the lowest polymorph listed for this composition comes out at 0.92 eV per formula unit.



Record 18
First-principles (PBE) data for an optimized crystal structure of ZnPCl2, as listed in Alexandria.

The structure belongs to space group Imm2 (No. 44); the cell edges are 3.2835, 4.7578 and 13.8578 Å and the angles 90.00°, 90.00° and 90.00°. The asymmetric unit holds Zn at (0.0000, 0.0000, 0.0000), P at (0.0000, 0.5000, 0.3643), Cl at (0.0000, 0.0000, 0.3983) and Cl at (0.0000, 0.5000, 0.6197).

Its raw formation energy is -0.24 eV per atom. The volume comes out at 27.06 A^3/atom. The crystal system is orthorhombic. The density of states at the Fermi level comes out at 3.53 states/eV per cell. The energy relative to the lowest polymorph listed for this composition comes out at 0.89 eV per formula unit.



Record 19
First-principles (PBE) data for an optimized crystal structure of ZnPCl2, as listed in Alexandria.

The structure belongs to space group Fm-3m (No. 225); the cell edges are 6.7081, 6.7081 and 6.7081 Å and the angles 90.00°, 90.00° and 90.00°. The asymmetric unit holds Zn at (0.0000, 0.0000, 0.0000), P at (0.0000, 0.0000, 0.5000) and Cl at (0.2500, 0.2500, 0.2500).

Its raw formation energy is 0.54 eV per atom. The volume comes out at 18.87 A^3/atom. The crystal system is cubic. The density of states at the Fermi level comes out at 15.80 states/eV per cell. The energy relative to the lowest polymorph listed for this composition comes out at 4.03 eV per formula unit.



Record 20
First-principles (PBE) data for an optimized crystal structure of ZnPCl2, as listed in Alexandria.

The structure belongs to space group R-3m (No. 166, hexagonal axes); the cell edges are 3.3540, 3.3540 and 34.0526 Å and the angles 90.00°, 90.00° and 120.00°. The asymmetric unit holds Zn at (0.0000, 0.0000, 0.0000), P at (0.0000, 0.0000, 0.5000) and Cl at (0.0000, 0.0000, 0.2902).

Its raw formation energy is -0.08 eV per atom. The volume comes out at 27.65 A^3/atom. The crystal system is trigonal. The density of states at the Fermi level comes out at 3.83 states/eV per cell. The energy relative to the lowest polymorph listed for this composition comes out at 1.54 eV per formula unit.